Record 1
# GaRe2Cl, optimized geometry, DFT PBE-GGA
# distance to the lowest polymorph of the same formula: 0.576 eV/atom
# magnetic moment: 0.000 μB/atom
# ρ: 10.22 g/cm³
# formation energy (no corrections): 6.50 eV per formula unit
# crystal system: tetragonal
# energy: -5.816 eV per atom
data_GaRe2Cl
_chemical_formula_sum 'Ga4 Re8 Cl4'
_cell_length_a 5.842
_cell_length_b 5.842
_cell_length_c 9.092
_cell_angle_alpha 90.00
_cell_angle_beta 90.00
_cell_angle_gamma 90.00
_symmetry_space_group_name_H-M 'I -4 2 d'
_symmetry_Int_Tables_number 122
_symmetry_space_group_name_Hall 'I -4 2bw'
loop_
_atom_site_label
_atom_site_type_symbol
_atom_site_fract_x
_atom_site_fract_y
_atom_site_fract_z
Ga1 Ga 0.000 0.000 0.000
Re1 Re 0.213 0.250 0.625
Cl1 Cl 0.000 0.000 0.500

---

Record 2
# Ga3ReCl, optimized geometry, DFT PBE-GGA
# distance to the lowest polymorph of the same formula: 0.000 eV/atom
# magnetic moment: 0.074 μB/atom
# ρ: 5.98 g/cm³
# formation energy (no corrections): 1.01 eV per formula unit
# crystal system: cubic
# energy: -4.473 eV per atom
data_Ga3ReCl
_chemical_formula_sum 'Ga3 Re1 Cl1'
_cell_length_a 4.929
_cell_length_b 4.929
_cell_length_c 4.929
_cell_angle_alpha 90.00
_cell_angle_beta 90.00
_cell_angle_gamma 90.00
_symmetry_space_group_name_H-M 'P m -3 m'
_symmetry_Int_Tables_number 221
_symmetry_space_group_name_Hall '-P 4 2 3'
loop_
_atom_site_label
_atom_site_type_symbol
_atom_site_fract_x
_atom_site_fract_y
_atom_site_fract_z
Ga1 Ga 0.000 0.000 0.500
Re1 Re 0.000 0.000 0.000
Cl1 Cl 0.500 0.500 0.500

---

Record 3
# Ga2ReCl2, optimized geometry, DFT PBE-GGA
# distance to the lowest polymorph of the same formula: 0.000 eV/atom
# magnetic moment: 0.673 μB/atom
# ρ: 5.19 g/cm³
# formation energy (no corrections): 2.23 eV per formula unit
# crystal system: tetragonal
# energy: -3.993 eV per atom
data_Ga2ReCl2
_chemical_formula_sum 'Ga4 Re2 Cl4'
_cell_length_a 7.272
_cell_length_b 7.272
_cell_length_c 4.800
_cell_angle_alpha 90.00
_cell_angle_beta 90.00
_cell_angle_gamma 90.00
_symmetry_space_group_name_H-M 'P 4/m b m'
_symmetry_Int_Tables_number 127
_symmetry_space_group_name_Hall '-P 4 2ab'
loop_
_atom_site_label
_atom_site_type_symbol
_atom_site_fract_x
_atom_site_fract_y
_atom_site_fract_z
Ga1 Ga 0.240 0.260 0.000
Re1 Re 0.000 0.000 0.000
Cl1 Cl 0.168 0.668 0.500

---

Record 4
# Ga2ReCl2, optimized geometry, DFT PBE-GGA
# distance to the lowest polymorph of the same formula: 0.195 eV/atom
# magnetic moment: 0.000 μB/atom
# ρ: 6.14 g/cm³
# formation energy (no corrections): 3.20 eV per formula unit
# crystal system: tetragonal
# energy: -3.798 eV per atom
data_Ga2ReCl2
_chemical_formula_sum 'Ga4 Re2 Cl4'
_cell_length_a 3.416
_cell_length_b 3.416
_cell_length_c 18.390
_cell_angle_alpha 90.00
_cell_angle_beta 90.00
_cell_angle_gamma 90.00
_symmetry_space_group_name_H-M 'I 4/m m m'
_symmetry_Int_Tables_number 139
_symmetry_space_group_name_Hall '-I 4 2'
loop_
_atom_site_label
_atom_site_type_symbol
_atom_site_fract_x
_atom_site_fract_y
_atom_site_fract_z
Ga1 Ga 0.000 0.000 0.069
Re1 Re 0.000 0.000 0.500
Cl1 Cl 0.000 0.500 0.250

---

- magnetic moment of number 1 (GaRe2Cl)?
  0.000 μB/atom

---

- distance to the lowest polymorph of the same formula of number 2 (Ga3ReCl)?
  0.000 eV/atom

---

- Among the records above, which one has the highest distance to the lowest polymorph of the same formula?
  GaRe2Cl